CsLi4Nd3I12: relaxed, GGA-PBE.

abc: 10.492 10.492 10.492
angles: 108.88 108.88 108.88
Fractional coordinates of all 20 atoms:
Cs  0.000  0.000  0.000
Li  0.090  0.500  0.910
Li  0.500  0.500  0.500
Li  0.500  0.910  0.090
Li  0.910  0.090  0.500
Nd  0.000  0.582  0.418
Nd  0.418  0.000  0.582
Nd  0.582  0.418  0.000
I  0.072  0.666  0.761
I  0.074  0.926  0.500
I  0.239  0.334  0.928
I  0.334  0.928  0.239
I  0.344  0.656  0.500
I  0.500  0.074  0.926
I  0.500  0.344  0.656
I  0.656  0.500  0.344
I  0.666  0.761  0.072
I  0.761  0.072  0.666
I  0.926  0.500  0.074
I  0.928  0.239  0.334

Computed properties:
electronic total energy: -3.291 eV per atom
energy relative to the elements, uncorrected: -1.220 eV per atom
total magnetic moment: 2.03 Bohr magnetons per cell
crystal system: trigonal
space group: R32 (155)

Cs2LiNdI6: relaxed, GGA-PBE.

abc: 15.242 15.242 15.242
angles: 32.87 32.87 32.87
Fractional coordinates of all 20 atoms:
Cs  0.123  0.123  0.123
Cs  0.292  0.292  0.292
Cs  0.708  0.708  0.708
Cs  0.877  0.877  0.877
Li  0.000  0.000  0.000
Li  0.500  0.500  0.500
Nd  0.415  0.415  0.415
Nd  0.585  0.585  0.585
I  0.128  0.624  0.624
I  0.203  0.203  0.715
I  0.203  0.715  0.203
I  0.285  0.797  0.797
I  0.376  0.376  0.872
I  0.376  0.872  0.376
I  0.624  0.128  0.624
I  0.624  0.624  0.128
I  0.715  0.203  0.203
I  0.797  0.285  0.797
I  0.797  0.797  0.285
I  0.872  0.376  0.376

Computed properties:
electronic total energy: -3.214 eV per atom
energy relative to the elements, uncorrected: -1.445 eV per atom
total magnetic moment: 0.00 Bohr magnetons per cell
crystal system: trigonal
energy relative to the lowest polymorph listed for this composition: 0.00 kcal/mol of atoms
space group: R-3m (166)

CsLiNiI4: relaxed, GGA-PBE.

abc: 6.162 8.188 11.486
angles: 90.00 103.93 90.00
Fractional coordinates of all 14 atoms:
Cs  0.161  0.250  0.361
Cs  0.839  0.750  0.639
Li  0.429  0.250  0.995
Li  0.571  0.750  0.005
Ni  0.308  0.750  0.205
Ni  0.692  0.250  0.795
I  0.042  0.750  0.999
I  0.245  0.750  0.416
I  0.434  0.003  0.807
I  0.434  0.497  0.807
I  0.566  0.503  0.193
I  0.566  0.997  0.193
I  0.755  0.250  0.584
I  0.958  0.250  0.001

Computed properties:
electronic total energy: -2.877 eV per atom
energy relative to the elements, uncorrected: -0.770 eV per atom
total magnetic moment: 4.01 Bohr magnetons per cell
crystal system: monoclinic
space group: P2_1/m (11)

CsLiNp2I8: relaxed, GGA-PBE.

abc: 8.005 8.005 9.565
angles: 90.00 90.00 120.00
Fractional coordinates of all 12 atoms:
Cs  0.000  0.000  0.000
Li  0.000  0.000  0.500
Np  0.333  0.667  0.411
Np  0.667  0.333  0.589
I  0.066  0.354  0.655
I  0.288  0.934  0.655
I  0.333  0.667  0.094
I  0.354  0.288  0.345
I  0.646  0.712  0.655
I  0.667  0.333  0.906
I  0.712  0.066  0.345
I  0.934  0.646  0.345

Computed properties:
electronic total energy: -4.415 eV per atom
energy relative to the elements, uncorrected: -0.994 eV per atom
total magnetic moment: 8.00 Bohr magnetons per cell
crystal system: trigonal
space group: P-3 (147)